Here is a relaxed SmEuO2 crystal from the Alexandria database. Energies are from PBE.

a b c (Å): 3.5305 3.5305 6.1867
angles (deg): 73.42 73.42 60.00
Closest atoms and distances in Å follow each position.
Fractional coordinates of all 4 atoms:
O (0.7458, 0.7458, 0.7626)  3 Sm 2.47, 3 Eu 2.55
Eu (0.5000, 0.5000, 0.5000)  6 O 2.55
Sm (0.0000, 0.0000, 0.0000)  6 O 2.47
O (0.2542, 0.2542, 0.2374)  3 Sm 2.47, 3 Eu 2.55

Output
Crystal system ... trigonal
Space-group type ... R-3m (166)

---

Here is a relaxed Sm2EuO crystal from the Alexandria database. Energies are from PBE.

a b c (Å): 3.6303 3.6303 9.7653
angles (deg): 79.29 79.29 60.00
Closest atoms and distances in Å follow each position.
Fractional coordinates of all 4 atoms:
O (0.5000, 0.5000, 0.5000)  6 Sm 2.48
Sm (0.8797, 0.8797, 0.3610)  3 O 2.48
Sm (0.1203, 0.1203, 0.6390)  3 O 2.48
Eu (0.0000, 0.0000, 0.0000)  2 Sm 3.44, 6 Eu 3.63

Output
Crystal system ... trigonal
Space-group type ... R-3m (166)

---

Here is a relaxed Sm3EuO crystal from the Alexandria database. Energies are from PBE.

a b c (Å): 5.0856 5.0856 5.0856
angles (deg): 90.00 90.00 90.00
Closest atoms and distances in Å follow each position.
Fractional coordinates of all 5 atoms:
Sm (0.5000, 0.0000, 0.0000)  2 O 2.54
Sm (0.0000, 0.0000, 0.5000)  2 O 2.54
Eu (0.5000, 0.5000, 0.5000)  12 Sm 3.60
O (0.0000, 0.0000, 0.0000)  6 Sm 2.54
Sm (0.0000, 0.5000, 0.0000)  2 O 2.54

Output
Crystal system ... cubic
Space-group type ... Pm-3m (221)

---

Here is a relaxed SmEu2TaO6 crystal from the Alexandria database. Energies are from PBE.

a b c (Å): 6.0231 6.0231 6.0231
angles (deg): 60.00 60.00 60.00
Closest atoms and distances in Å follow each position.
Fractional coordinates of all 10 atoms:
O (0.2659, 0.7341, 0.7341)  1 Ta 1.99
Sm (0.0000, 0.0000, 0.0000)  6 O 2.27
O (0.7341, 0.2659, 0.2659)  1 Ta 1.99
Eu (0.2500, 0.2500, 0.2500)  12 O 3.01
O (0.2659, 0.7341, 0.2659)  1 Ta 1.99
O (0.2659, 0.2659, 0.7341)  1 Ta 1.99
Eu (0.7500, 0.7500, 0.7500)  12 O 3.01
O (0.7341, 0.7341, 0.2659)  1 Ta 1.99
Ta (0.5000, 0.5000, 0.5000)  6 O 1.99
O (0.7341, 0.2659, 0.7341)  1 Ta 1.99

Output
Crystal system ... cubic
Space-group type ... Fm-3m (225)

---

| no. | E (eV per atom) | total moment (μB per formula unit) | formation energy without anion corrections (eV/f.u.) |
| --- | --- | --- | --- |
| 1 | -9.009 | 6.95 | -11.13 |
| 2 | -7.352 | 7.16 | -4.74 |
| 3 | -6.892 | 7.49 | -5.07 |
| 4 | -9.657 | 14.00 | -29.70 |